# PdRuWF2 | Alexandria | PBE with a Hubbard U | optimized geometry
data_PdRuWF2
_chemical_formula_sum 'Pd1 Ru1 W1 F2'
_cell_length_a 3.9559
_cell_length_b 5.4371
_cell_length_c 3.9559
_cell_angle_alpha 90.00
_cell_angle_beta 90.00
_cell_angle_gamma 90.00
_symmetry_space_group_name_H-M 'P 1'
_symmetry_Int_Tables_number 1
_symmetry_space_group_name_Hall 'P 1'
loop_
_atom_site_label
_atom_site_type_symbol
_atom_site_fract_x
_atom_site_fract_y
_atom_site_fract_z
W1 W 0.0000 0.0000 0.0000
Ru1 Ru 0.5000 0.5000 0.5000
F1 F 0.0000 0.0000 0.5000
F2 F 0.5000 0.0000 0.0000
Pd1 Pd 0.0000 0.5000 0.0000
# - uncorrected energy (eV per atom) = -4.780
# - calculated volume (A^3/atom) = 17.02
# - D(E_F) (states/eV/cell) = 10.2
# - magnetization (μB per cell) = 0.3
# - SG = P4/mmm (123)